Entry from the Alexandria database: crystalline Ag3PdAu at its relaxed geometry (PBE).

Results
**Size of the total moment**: 0.0 μB per cell
**Polymorph energy (0 for the lowest one)**: 0.0 kJ/mol of atoms
**DFT formation energy**: 0.130 eV/atom
**DFT total energy**: -3.27 eV per atom

a b c (Å): 5.1243 10.7210 7.0066
angles (deg): 90.00 90.00 90.00
Space group Pnma (No. 62)
Asymmetric unit:
Ag: 0.9997 0.1166 0.0763 x8
Ag: 0.2494 0.2500 0.7500 x4
Pd: 0.9995 0.2500 0.4048 x4
Au: 0.0000 0.0000 0.5000 x4